The following is a DFT calculation (PBE) of crystalline CaPr2Dy6 at its relaxed geometry.

Cell: 7.262 9.024 9.586 Å, 103.33 100.80 90.01°
Space group P-1 (No. 2)
Symmetry-distinct sites (fractional):
Ca1 0.212 0.335 0.356 (multiplicity 2)
Pr1 0.378 0.335 0.017 (multiplicity 2)
Pr2 0.420 0.995 0.167 (multiplicity 2)
Dy1 0.043 0.327 0.687 (multiplicity 2)
Dy2 0.085 0.004 0.835 (multiplicity 2)
Dy3 0.122 0.665 0.984 (multiplicity 2)
Dy4 0.248 0.991 0.503 (multiplicity 2)
Dy5 0.284 0.671 0.650 (multiplicity 2)
Dy6 0.451 0.672 0.316 (multiplicity 2)

The formation enthalpy at 0 K comes out at 41 meV per atom. The raw total energy comes out at -77.61 eV for the cell shown. The mass density is 7.18 Mg/m³.